No. 1
VASP calculation (PBE) on a relaxed Ca3Ru crystal.

energy relative to the elements: 1.19 eV/f.u.
calculated volume: 30.7 A^3/atom
VASP energy: -3.522 eV/atom
theoretical density: 3.0 g cm⁻³
crystal system: trigonal
space group: R-3m, No. 166

a b c (Å): 10.956 10.956 10.956
angles (deg): 19.08 19.08 19.08
Last column: magnetic moment on the atom in μB.
Element x y z (fractional)
Ca (0.273, 0.273, 0.273)  -0.01
Ca (0.727, 0.727, 0.727)  -0.01
Ca (0.500, 0.500, 0.500)  0.01
Ru (0.000, 0.000, 0.000)  0.38


No. 2
VASP calculation (PBE) on a relaxed CaRu crystal.

energy relative to the elements: 3.04 eV/f.u.
calculated volume: 29.4 A^3/atom
VASP energy: -4.118 eV/atom
theoretical density: 4.0 g cm⁻³
crystal system: hexagonal
space group: P6_3/mmc, No. 194

a b c (Å): 4.939 4.939 5.574
angles (deg): 90.00 90.00 120.00
Last column: magnetic moment on the atom in μB.
Element x y z (fractional)
Ca (0.333, 0.667, 0.250)  -0.03
Ca (0.667, 0.333, 0.750)  -0.03
Ru (0.333, 0.667, 0.750)  1.26
Ru (0.667, 0.333, 0.250)  1.26


No. 3
VASP calculation (PBE) on a relaxed CaRu crystal.

energy relative to the elements: 0.68 eV/f.u.
calculated volume: 24.4 A^3/atom
VASP energy: -5.299 eV/atom
theoretical density: 4.8 g cm⁻³
crystal system: orthorhombic
space group: Pmma, No. 51

a b c (Å): 3.276 4.389 6.792
angles (deg): 90.00 90.00 90.00
Element x y z (fractional)
Ru (0.500, 0.000, 0.598)
Ru (0.500, 0.500, 0.735)
Ca (0.000, 0.000, 0.959)
Ca (0.000, 0.500, 0.374)


No. 4
VASP calculation (PBE) on a relaxed CaRu crystal.

energy relative to the elements: 0.43 eV/f.u.
calculated volume: 22.2 A^3/atom
VASP energy: -5.424 eV/atom
theoretical density: 5.3 g cm⁻³
crystal system: orthorhombic
space group: Pnma, No. 62

a b c (Å): 6.101 4.926 11.803
angles (deg): 90.00 90.00 90.00
Element x y z (fractional)
Ca (0.688, 0.750, 0.529)
Ca (0.812, 0.250, 0.029)
Ca (0.198, 0.750, 0.678)
Ca (0.188, 0.750, 0.971)
Ca (0.312, 0.250, 0.471)
Ca (0.802, 0.250, 0.322)
Ca (0.698, 0.750, 0.822)
Ca (0.302, 0.250, 0.178)
Ru (0.606, 0.750, 0.106)
Ru (0.394, 0.250, 0.894)
Ru (0.048, 0.250, 0.797)
Ru (0.106, 0.750, 0.394)
Ru (0.548, 0.250, 0.703)
Ru (0.452, 0.750, 0.297)
Ru (0.952, 0.750, 0.203)
Ru (0.894, 0.250, 0.606)


No. 5
VASP calculation (PBE) on a relaxed Ca3Ru crystal.

energy relative to the elements: 1.36 eV/f.u.
calculated volume: 26.5 A^3/atom
VASP energy: -3.479 eV/atom
theoretical density: 3.5 g cm⁻³
crystal system: cubic
space group: Pm-3m, No. 221

a b c (Å): 4.734 4.734 4.734
angles (deg): 90.00 90.00 90.00
Element x y z (fractional)
Ca (0.500, 0.500, 0.000)
Ca (0.500, 0.000, 0.500)
Ca (0.000, 0.500, 0.500)
Ru (0.000, 0.000, 0.000)


No. 6
VASP calculation (PBE) on a relaxed Ca4Ru crystal.

energy relative to the elements: 0.17 eV/f.u.
calculated volume: 33.9 A^3/atom
VASP energy: -3.422 eV/atom
theoretical density: 2.6 g cm⁻³
crystal system: orthorhombic
space group: Ibam, No. 72

a b c (Å): 6.467 7.271 8.694
angles (deg): 114.72 111.83 90.00
Element x y z (fractional)
Ca (0.659, 0.017, 0.318)
Ca (0.572, 0.372, 0.145)
Ca (0.841, 0.699, 0.682)
Ca (0.428, 0.628, 0.855)
Ca (0.928, 0.227, 0.855)
Ca (0.159, 0.301, 0.318)
Ca (0.072, 0.773, 0.145)
Ca (0.341, 0.983, 0.682)
Ru (0.250, 0.000, 0.000)
Ru (0.750, 0.000, 0.000)


No. 7
VASP calculation (PBE) on a relaxed CaRu5 crystal.

energy relative to the elements: 2.16 eV/f.u.
calculated volume: 15.8 A^3/atom
VASP energy: -7.703 eV/atom
theoretical density: 9.5 g cm⁻³
crystal system: orthorhombic
space group: Cmmm, No. 65

a b c (Å): 6.437 6.437 3.934
angles (deg): 90.00 90.00 144.39
Last column: magnetic moment on the atom in μB.
Element x y z (fractional)
Ru (0.682, 0.318, 0.500)  0.01
Ru (0.318, 0.682, 0.500)  0.01
Ru (0.184, 0.816, 0.000)  0.05
Ru (0.816, 0.184, 0.000)  0.05
Ru (0.000, 0.000, 0.500)  0.41
Ca (0.500, 0.500, 0.000)  0.00


No. 8
VASP calculation (PBE) on a relaxed Ca5Ru crystal.

energy relative to the elements: 0.59 eV/f.u.
calculated volume: 34.1 A^3/atom
VASP energy: -3.116 eV/atom
theoretical density: 2.4 g cm⁻³
crystal system: monoclinic
space group: C2/m, No. 12

a b c (Å): 6.781 6.781 9.417
angles (deg): 67.22 67.22 31.05
Element x y z (fractional)
Ca (0.966, 0.966, 0.625)
Ca (0.685, 0.685, 0.769)
Ca (0.645, 0.645, 0.153)
Ca (0.926, 0.926, 0.009)
Ca (0.305, 0.305, 0.389)
Ru (0.306, 0.306, 0.889)


No. 9
VASP calculation (PBE) on a relaxed CaRu6 crystal.

energy relative to the elements: 5.22 eV/f.u.
calculated volume: 21.8 A^3/atom
VASP energy: -7.491 eV/atom
theoretical density: 7.0 g cm⁻³
crystal system: cubic
space group: Im-3m, No. 229

a b c (Å): 5.828 5.828 5.828
angles (deg): 109.47 109.47 109.47
Element x y z (fractional)
Ru (0.750, 0.250, 0.500)
Ru (0.750, 0.500, 0.250)
Ru (0.250, 0.500, 0.750)
Ru (0.250, 0.750, 0.500)
Ru (0.500, 0.250, 0.750)
Ru (0.500, 0.750, 0.250)
Ca (0.000, 0.000, 0.000)


No. 10
VASP calculation (PBE) on a relaxed CaRu crystal.

energy relative to the elements: 3.81 eV/f.u.
calculated volume: 32.4 A^3/atom
VASP energy: -3.736 eV/atom
theoretical density: 3.6 g cm⁻³
crystal system: cubic
space group: F-43m, No. 216

a b c (Å): 6.376 6.376 6.376
angles (deg): 90.00 90.00 90.00
Last column: magnetic moment on the atom in μB.
Element x y z (fractional)
Ca (0.750, 0.750, 0.250)  0.03
Ca (0.250, 0.250, 0.250)  0.03
Ca (0.750, 0.250, 0.750)  0.03
Ca (0.250, 0.750, 0.750)  0.03
Ru (0.500, 0.000, 0.500)  1.62
Ru (0.500, 0.500, 0.000)  1.62
Ru (0.000, 0.000, 0.000)  1.62
Ru (0.000, 0.500, 0.500)  1.62


No. 11
VASP calculation (PBE) on a relaxed Ca3Ru2 crystal.

energy relative to the elements: 1.81 eV/f.u.
calculated volume: 24.7 A^3/atom
VASP energy: -4.550 eV/atom
theoretical density: 4.3 g cm⁻³
crystal system: trigonal
space group: P-3m1, No. 164

a b c (Å): 4.906 4.906 5.935
angles (deg): 90.00 90.00 120.00
Element x y z (fractional)
Ca (0.333, 0.667, 0.364)
Ca (0.667, 0.333, 0.636)
Ca (0.000, 0.000, 0.000)
Ru (0.667, 0.333, 0.081)
Ru (0.333, 0.667, 0.919)


No. 12
VASP calculation (PBE) on a relaxed CaRu crystal.

energy relative to the elements: 0.54 eV/f.u.
calculated volume: 28.7 A^3/atom
VASP energy: -5.371 eV/atom
theoretical density: 4.1 g cm⁻³
crystal system: trigonal
space group: P-3m1, No. 164

a b c (Å): 3.968 3.968 8.430
angles (deg): 90.00 90.00 120.00
Element x y z (fractional)
Ca (0.667, 0.333, 0.325)
Ca (0.000, 0.000, 0.925)
Ru (0.000, 0.000, 0.587)
Ru (0.667, 0.333, 0.663)


Which M_tot belongs to each record? In order, 0.37 1.26 0.00 0.00 0.00 0.00 0.53 0.00 0.00 1.79 0.00 0.00 μB per formula unit.